(1)
This record from the Alexandria database describes a relaxed structure of MnHRuRh2. The functional is GGA-PBE. Values from VASP.

Its space-group type is P4/mmm. The calculation puts the energy above the lowest structure with this stoichiometry at 0.60 eV/f.u.

Quantum ESPRESSO input file:
```
&SYSTEM
  ibrav = 0, nat = 5, ntyp = 4
/
ATOMIC_SPECIES
Mn 54.94 Mn.upf
H 1.01 H.upf
Ru 101.07 Ru.upf
Rh 102.91 Rh.upf
ATOMIC_POSITIONS angstrom
Mn 0.000 0.000 0.000
H 0.000 0.000 1.927
Ru 1.899 1.899 0.000
Rh 0.000 1.899 1.927
Rh 1.899 0.000 1.927
CELL_PARAMETERS angstrom
3.798 0.000 0.000
0.000 3.798 0.000
0.000 0.000 3.853
```

(2)
This record from the Alexandria database describes a relaxed structure of Mn2SbHRh. The functional is GGA-PBE. Values from VASP.

Its space-group type is P4/mmm. Its total energy is -6.7232 eV per atom.

Quantum ESPRESSO input file:
```
&SYSTEM
  ibrav = 0, nat = 5, ntyp = 4
/
ATOMIC_SPECIES
Mn 54.94 Mn.upf
Sb 121.76 Sb.upf
H 1.01 H.upf
Rh 102.91 Rh.upf
ATOMIC_POSITIONS angstrom
Mn 0.000 1.952 0.000
Mn 1.952 0.000 0.000
Sb 0.000 0.000 2.021
H 1.952 1.952 0.000
Rh 1.952 1.952 2.021
CELL_PARAMETERS angstrom
3.904 0.000 0.000
0.000 3.904 0.000
0.000 0.000 4.042
```

(3)
This record from the Alexandria database describes a relaxed structure of ScMnHRh2. The functional is GGA-PBE. Values from VASP.

Its space-group type is P4/mmm. The calculation puts the energy above the lowest structure with this stoichiometry at 0.00 eV/f.u.

Quantum ESPRESSO input file:
```
&SYSTEM
  ibrav = 0, nat = 5, ntyp = 4
/
ATOMIC_SPECIES
Sc 44.96 Sc.upf
Mn 54.94 Mn.upf
H 1.01 H.upf
Rh 102.91 Rh.upf
ATOMIC_POSITIONS angstrom
Sc 0.000 0.000 0.000
Mn 2.089 2.089 0.000
H 2.089 2.089 1.828
Rh 0.000 2.089 1.828
Rh 2.089 0.000 1.828
CELL_PARAMETERS angstrom
4.178 0.000 0.000
0.000 4.178 0.000
0.000 0.000 3.656
```

(4)
This record from the Alexandria database describes a relaxed structure of Sc2MnHRh. The functional is GGA-PBE. Values from VASP.

Its space-group type is P4/mmm. Its total energy is -6.9933 eV per atom.

Quantum ESPRESSO input file:
```
&SYSTEM
  ibrav = 0, nat = 5, ntyp = 4
/
ATOMIC_SPECIES
Sc 44.96 Sc.upf
Mn 54.94 Mn.upf
H 1.01 H.upf
Rh 102.91 Rh.upf
ATOMIC_POSITIONS angstrom
Sc 0.000 2.256 0.000
Sc 2.256 0.000 0.000
Mn 0.000 0.000 1.685
H 0.000 0.000 0.000
Rh 2.256 2.256 1.685
CELL_PARAMETERS angstrom
4.511 0.000 0.000
0.000 4.511 0.000
0.000 0.000 3.369
```

(5)
This record from the Alexandria database describes a relaxed structure of ScMnHRh2. The functional is GGA-PBE. Values from VASP.

Its space-group type is P4/mmm. The calculation puts the energy above the lowest structure with this stoichiometry at 0.31 eV/f.u.

Quantum ESPRESSO input file:
```
&SYSTEM
  ibrav = 0, nat = 5, ntyp = 4
/
ATOMIC_SPECIES
Sc 44.96 Sc.upf
Mn 54.94 Mn.upf
H 1.01 H.upf
Rh 102.91 Rh.upf
ATOMIC_POSITIONS angstrom
Sc 0.000 0.000 0.000
Mn 2.039 2.039 0.000
H 0.000 0.000 1.937
Rh 0.000 2.039 1.937
Rh 2.039 0.000 1.937
CELL_PARAMETERS angstrom
4.079 0.000 0.000
0.000 4.079 0.000
0.000 0.000 3.874
```

(6)
This record from the Alexandria database describes a relaxed structure of MnSiHRh2. The functional is GGA-PBE. Values from VASP.

Its space-group type is P4/mmm. Its total energy is -6.8677 eV per atom.

Quantum ESPRESSO input file:
```
&SYSTEM
  ibrav = 0, nat = 5, ntyp = 4
/
ATOMIC_SPECIES
Mn 54.94 Mn.upf
Si 28.09 Si.upf
H 1.01 H.upf
Rh 102.91 Rh.upf
ATOMIC_POSITIONS angstrom
Mn 0.000 0.000 0.000
Si 1.968 1.968 0.000
H 0.000 0.000 1.829
Rh 0.000 1.968 1.829
Rh 1.968 0.000 1.829
CELL_PARAMETERS angstrom
3.935 0.000 0.000
0.000 3.935 0.000
0.000 0.000 3.658
```

(7)
This record from the Alexandria database describes a relaxed structure of MnSnHRh2. The functional is GGA-PBE. Values from VASP.

Its space-group type is P4/mmm. Its total energy is -6.5430 eV per atom.

Quantum ESPRESSO input file:
```
&SYSTEM
  ibrav = 0, nat = 5, ntyp = 4
/
ATOMIC_SPECIES
Mn 54.94 Mn.upf
Sn 118.71 Sn.upf
H 1.01 H.upf
Rh 102.91 Rh.upf
ATOMIC_POSITIONS angstrom
Mn 0.000 0.000 0.000
Sn 2.050 2.050 0.000
H 0.000 0.000 1.915
Rh 0.000 2.050 1.915
Rh 2.050 0.000 1.915
CELL_PARAMETERS angstrom
4.099 0.000 0.000
0.000 4.099 0.000
0.000 0.000 3.831
```

(8)
This record from the Alexandria database describes a relaxed structure of SrMnH8Rh2. The functional is GGA-PBE. Values from VASP.

Its space-group type is R-3. Its total energy is -4.5571 eV per atom.

Quantum ESPRESSO input file:
```
&SYSTEM
  ibrav = 0, nat = 12, ntyp = 4
/
ATOMIC_SPECIES
Sr 87.62 Sr.upf
Mn 54.94 Mn.upf
H 1.01 H.upf
Rh 102.91 Rh.upf
ATOMIC_POSITIONS angstrom
Sr 0.000 0.000 0.000
Mn 0.000 0.000 8.723
H -1.772 0.203 7.930
H -1.062 -1.433 9.516
H 0.000 0.000 5.171
H 0.710 -1.636 7.930
H -0.710 1.636 9.516
H 0.000 0.000 12.275
H 1.062 1.433 7.930
H 1.772 -0.203 9.516
Rh 0.000 0.000 3.470
Rh 0.000 0.000 13.976
CELL_PARAMETERS angstrom
2.407 1.390 5.815
-2.407 1.390 5.815
0.000 -2.779 5.815
```

(9)
This record from the Alexandria database describes a relaxed structure of SrMnH2Rh. The functional is GGA-PBE. Values from VASP.

Its space-group type is P4/mmm. Its total energy is -4.1397 eV per atom.

Quantum ESPRESSO input file:
```
&SYSTEM
  ibrav = 0, nat = 5, ntyp = 4
/
ATOMIC_SPECIES
Sr 87.62 Sr.upf
Mn 54.94 Mn.upf
H 1.01 H.upf
Rh 102.91 Rh.upf
ATOMIC_POSITIONS angstrom
Sr 0.000 0.000 0.000
Mn 1.988 1.988 0.000
H 0.000 1.988 2.712
H 1.988 0.000 2.712
Rh 0.000 0.000 2.712
CELL_PARAMETERS angstrom
3.976 0.000 0.000
0.000 3.976 0.000
0.000 0.000 5.424
```

(10)
This record from the Alexandria database describes a relaxed structure of TaMn2HRh. The functional is GGA-PBE. Values from VASP.

Its space-group type is P4/mmm. The calculation puts the energy above the lowest structure with this stoichiometry at 0.02 eV/f.u.

Quantum ESPRESSO input file:
```
&SYSTEM
  ibrav = 0, nat = 5, ntyp = 4
/
ATOMIC_SPECIES
Ta 180.95 Ta.upf
Mn 54.94 Mn.upf
H 1.01 H.upf
Rh 102.91 Rh.upf
ATOMIC_POSITIONS angstrom
Ta 0.000 0.000 0.000
Mn 0.000 1.880 2.020
Mn 1.880 0.000 2.020
H 0.000 0.000 2.020
Rh 1.880 1.880 0.000
CELL_PARAMETERS angstrom
3.761 0.000 0.000
0.000 3.761 0.000
0.000 0.000 4.040
```

(11)
This record from the Alexandria database describes a relaxed structure of TaMn2HRh. The functional is GGA-PBE. Values from VASP.

Its space-group type is P4/mmm. The calculation puts the energy above the lowest structure with this stoichiometry at 0.00 eV/f.u.

Quantum ESPRESSO input file:
```
&SYSTEM
  ibrav = 0, nat = 5, ntyp = 4
/
ATOMIC_SPECIES
Ta 180.95 Ta.upf
Mn 54.94 Mn.upf
H 1.01 H.upf
Rh 102.91 Rh.upf
ATOMIC_POSITIONS angstrom
Ta 0.000 0.000 0.000
Mn 0.000 1.916 1.935
Mn 1.916 0.000 1.935
H 1.916 1.916 1.935
Rh 1.916 1.916 0.000
CELL_PARAMETERS angstrom
3.831 0.000 0.000
0.000 3.831 0.000
0.000 0.000 3.869
```

(12)
This record from the Alexandria database describes a relaxed structure of MnTeHRh2. The functional is GGA-PBE. Values from VASP.

Its space-group type is P4/mmm. Its total energy is -6.1178 eV per atom.

Quantum ESPRESSO input file:
```
&SYSTEM
  ibrav = 0, nat = 5, ntyp = 4
/
ATOMIC_SPECIES
Mn 54.94 Mn.upf
Te 127.60 Te.upf
H 1.01 H.upf
Rh 102.91 Rh.upf
ATOMIC_POSITIONS angstrom
Mn 0.000 0.000 0.000
Te 2.026 2.026 0.000
H 0.000 0.000 2.028
Rh 0.000 2.026 2.028
Rh 2.026 0.000 2.028
CELL_PARAMETERS angstrom
4.053 0.000 0.000
0.000 4.053 0.000
0.000 0.000 4.057
```

(13)
This record from the Alexandria database describes a relaxed structure of Ti2MnHRh. The functional is GGA-PBE. Values from VASP.

Its space-group type is P4/mmm. The calculation puts the energy above the lowest structure with this stoichiometry at 0.00 eV/f.u.

Quantum ESPRESSO input file:
```
&SYSTEM
  ibrav = 0, nat = 5, ntyp = 4
/
ATOMIC_SPECIES
Ti 47.87 Ti.upf
Mn 54.94 Mn.upf
H 1.01 H.upf
Rh 102.91 Rh.upf
ATOMIC_POSITIONS angstrom
Ti 0.000 2.101 0.000
Ti 2.101 0.000 0.000
Mn 0.000 0.000 1.645
H 0.000 0.000 0.000
Rh 2.101 2.101 1.645
CELL_PARAMETERS angstrom
4.202 0.000 0.000
0.000 4.202 0.000
0.000 0.000 3.289
```

(14)
This record from the Alexandria database describes a relaxed structure of Ti2MnHRh. The functional is GGA-PBE. Values from VASP.

Its space-group type is P4/mmm. The calculation puts the energy above the lowest structure with this stoichiometry at 0.56 eV/f.u.

Quantum ESPRESSO input file:
```
&SYSTEM
  ibrav = 0, nat = 5, ntyp = 4
/
ATOMIC_SPECIES
Ti 47.87 Ti.upf
Mn 54.94 Mn.upf
H 1.01 H.upf
Rh 102.91 Rh.upf
ATOMIC_POSITIONS angstrom
Ti 0.000 2.106 0.000
Ti 2.106 0.000 0.000
Mn 0.000 0.000 1.695
H 2.106 2.106 0.000
Rh 2.106 2.106 1.695
CELL_PARAMETERS angstrom
4.212 0.000 0.000
0.000 4.212 0.000
0.000 0.000 3.389
```

Number 1: D(E_F) 1.35 states/eV/atom. Number 2: D(E_F) 0.69 states/eV/atom. Number 3: D(E_F) 0.33 states/eV/atom. Number 4: D(E_F) 0.73 states/eV/atom. Number 5: D(E_F) 0.56 states/eV/atom. Number 6: D(E_F) 0.30 states/eV/atom. Number 7: D(E_F) 0.25 states/eV/atom. Number 8: D(E_F) 0.15 states/eV/atom. Number 9: D(E_F) 0.38 states/eV/atom. Number 10: D(E_F) 0.79 states/eV/atom. Number 11: D(E_F) 0.74 states/eV/atom. Number 12: D(E_F) 0.63 states/eV/atom. Number 13: D(E_F) 0.71 states/eV/atom. Number 14: D(E_F) 0.54 states/eV/atom.